A plane-wave DFT calculation with GGA-PBE was carried out for a geometry-optimized PuAlCo2 structure.

```
PuAlCo2
1.0
2.881 0.000 0.000
0.000 2.881 0.000
0.000 0.000 6.829
Pu Al Co
1 1 2
Cartesian
0.000 0.000 0.000 Pu
0.000 0.000 3.415 Al
1.440 1.440 2.001 Co
1.440 1.440 4.828 Co
```

Calculated values
* space group: P4/mmm (123)
* DOS(E_F): 2.034 states/eV/atom
* calculated total energy: -0.3027 hartree per atom